Here is a relaxed structure of PrDy2Zr from Alexandria. Energies are from PBE-GGA.

CIF file:
```
data_PrDy2Zr
_symmetry_space_group_name_H-M 'R -3 m'
_symmetry_Int_Tables_number 166
_symmetry_space_group_name_Hall '-R 3 2"'
_cell_length_a 3.3909
_cell_length_b 3.3909
_cell_length_c 36.3807
_cell_angle_alpha 90.00
_cell_angle_beta 90.00
_cell_angle_gamma 120.00
loop_
_atom_site_label
_atom_site_fract_x
_atom_site_fract_y
_atom_site_fract_z
Pr1 0.0000 0.0000 0.0000
Dy1 0.0000 0.0000 0.4150
Zr1 0.0000 0.0000 0.5000
```

Output
formation energy = 1.307 eV/f.u.
energy above the lowest structure with this stoichiometry = 23.0 kJ/mol of atoms
calculated density = 7.66 g cm⁻³

---

Here is a relaxed structure of Nd3Dy8Th2 from Alexandria. Energies are from PBE-GGA.

CIF file:
```
data_Nd3Dy8Th2
_symmetry_space_group_name_H-M 'P -1'
_symmetry_Int_Tables_number 2
_cell_length_a 6.5914
_cell_length_b 7.9371
_cell_length_c 17.2490
_cell_angle_alpha 90.10
_cell_angle_beta 90.25
_cell_angle_gamma 106.30
loop_
_symmetry_equiv_pos_as_xyz
'x,y,z'
'-x,-y,-z'
loop_
_atom_site_label
_atom_site_fract_x
_atom_site_fract_y
_atom_site_fract_z
Nd1 0.0000 0.0000 0.0000
Nd2 0.0000 0.5000 0.5000
Nd3 0.1624 0.0357 0.2351
Nd4 0.3858 0.5983 0.7429
Dy1 0.1337 0.3401 0.8912
Dy2 0.1376 0.8400 0.6085
Dy3 0.1621 0.5371 0.2662
Dy4 0.1701 0.2581 0.6124
Dy5 0.1760 0.7612 0.8851
Dy6 0.3873 0.1075 0.7564
Dy7 0.4162 0.3303 0.4324
Dy8 0.4217 0.8274 0.0667
Th1 0.3688 0.3805 0.0805
Th2 0.3731 0.8785 0.4193
```

Output
formation energy = 2.039 eV/f.u.
calculated density = 8.42 g cm⁻³

---

Here is a relaxed structure of Hf5Fe2Sn from Alexandria. Energies are from PBE-GGA.

CIF file:
```
data_Hf5Fe2Sn
_symmetry_space_group_name_H-M 'I 4/m c m'
_symmetry_Int_Tables_number 140
_symmetry_space_group_name_Hall '-I 4 2c'
_cell_length_a 6.8690
_cell_length_b 6.8690
_cell_length_c 13.2782
_cell_angle_alpha 90.00
_cell_angle_beta 90.00
_cell_angle_gamma 90.00
loop_
_atom_site_label
_atom_site_fract_x
_atom_site_fract_y
_atom_site_fract_z
Hf1 0.0000 0.0000 0.0000
Hf2 0.1580 0.3420 0.1321
Fe1 0.1401 0.3599 0.5000
Sn1 0.0000 0.0000 0.2500
```

Output
formation energy = -1.792 eV/f.u.
calculated density = 11.90 g cm⁻³

---

Here is a relaxed structure of Y2As from Alexandria. Energies are from PBE-GGA.

CIF file:
```
data_Y2As
_symmetry_space_group_name_H-M 'F m -3 m'
_symmetry_Int_Tables_number 225
_symmetry_space_group_name_Hall '-F 4 2 3'
_cell_length_a 6.8271
_cell_length_b 6.8271
_cell_length_c 6.8271
_cell_angle_alpha 90.00
_cell_angle_beta 90.00
_cell_angle_gamma 90.00
loop_
_atom_site_label
_atom_site_fract_x
_atom_site_fract_y
_atom_site_fract_z
Y1 0.2500 0.2500 0.2500
As1 0.0000 0.0000 0.0000
```

Output
formation energy = -2.378 eV/f.u.
calculated density = 5.28 g cm⁻³

---

Here is a relaxed structure of VPdI2 from Alexandria. Energies are from PBE-GGA.

CIF file:
```
data_VPdI2
_symmetry_space_group_name_H-M 'I -4 2 d'
_symmetry_Int_Tables_number 122
_symmetry_space_group_name_Hall 'I -4 2bw'
_cell_length_a 6.2372
_cell_length_b 6.2372
_cell_length_c 12.6590
_cell_angle_alpha 90.00
_cell_angle_beta 90.00
_cell_angle_gamma 90.00
loop_
_atom_site_label
_atom_site_fract_x
_atom_site_fract_y
_atom_site_fract_z
V1 0.0000 0.0000 0.0000
Pd1 0.0000 0.0000 0.5000
I1 0.2476 0.2500 0.1250
```

Output
energy above the lowest structure with this stoichiometry = 0.0 kJ/mol of atoms
formation energy from raw total energies = 0.1309 eV per atom
calculated density = 5.55 g cm⁻³

---

Here is a relaxed structure of MgCr2SnRh from Alexandria. Energies are from PBE-GGA.

CIF file:
```
data_MgCr2SnRh
_symmetry_space_group_name_H-M 'P 4/m m m'
_symmetry_Int_Tables_number 123
_symmetry_space_group_name_Hall '-P 4 2'
_cell_length_a 4.9938
_cell_length_b 4.9938
_cell_length_c 5.0988
_cell_angle_alpha 90.00
_cell_angle_beta 90.00
_cell_angle_gamma 90.00
loop_
_atom_site_label
_atom_site_fract_x
_atom_site_fract_y
_atom_site_fract_z
Mg1 0.0000 0.0000 0.0000
Cr1 0.0000 0.5000 0.5000
Sn1 0.0000 0.0000 0.5000
Rh1 0.5000 0.5000 0.0000
```

Output
formation energy = 6.873 eV/f.u.
calculated density = 4.57 g cm⁻³